(1)
The following is a DFT calculation (PBE-GGA) of a relaxed YNpFe crystal.

The structure in POSCAR format:
```
YNpFe
1.0
0.000 4.301 5.195
2.897 0.000 5.195
2.897 4.301 0.000
Y Np Fe
2 2 2
Direct
0.184 0.816 0.184 Y
0.816 0.184 0.816 Y
0.305 0.305 0.695 Np
0.695 0.695 0.305 Np
0.250 0.250 0.250 Fe
0.750 0.750 0.750 Fe
```

Properties
DOS(E_F) ... 5.16 states/eV/f.u.
Total moment ... 2.90 μB/f.u.
Uncorrected energy ... -9.10 eV/atom
SG ... Fmmm
Formation energy ... 56 kJ/mol of formula units


(2)
The following is a DFT calculation (PBE-GGA) of a relaxed TmSb2Pb crystal.

The structure in POSCAR format:
```
TmSb2Pb
1.0
4.094 0.000 0.000
0.000 4.094 0.000
0.000 0.000 6.669
Tm Sb Pb
1 2 1
Direct
0.000 0.000 0.000 Tm
0.500 0.500 0.227 Sb
0.500 0.500 0.773 Sb
0.000 0.000 0.500 Pb
```

Properties
Formation energy (no corrections) ... -402 meV per atom
DOS(E_F) ... 3.14 states/eV/f.u.
Total moment ... 0.00 μB/f.u.
Uncorrected energy ... -4.51 eV/atom
SG ... P4/mmm


(3)
The following is a DFT calculation (PBE-GGA) of a relaxed Mg2InW crystal.

The structure in POSCAR format:
```
Mg2InW
1.0
-1.547 2.446 5.083
1.547 -2.446 5.083
1.547 2.446 -5.083
Mg In W
2 1 1
Direct
0.237 0.237 0.000 Mg
0.763 0.763 0.000 Mg
0.500 0.000 0.500 In
0.000 0.500 0.500 W
```

Properties
DOS(E_F) ... 1.78 states/eV/f.u.
Total moment ... 0.00 μB/f.u.
Uncorrected energy ... -4.35 eV/atom
SG ... Immm
Formation energy ... 144 kJ/mol of formula units